# 1
Below is a relaxed structure of Rb2HgPd2, with properties calculated at the PBE level.

Structure (POSCAR):
```
Rb2HgPd2
1.0
-4.9595 3.1371 4.1850
-0.0684 -5.8058 4.2709
3.9663 2.1986 3.0523
Rb Hg Pd
4 2 4
direct
0.1768 0.6768 0.5000 Rb
0.6768 0.8232 0.5000 Rb
0.8232 0.3232 0.5000 Rb
0.3232 0.1768 0.5000 Rb
0.0000 0.0000 0.0000 Hg
0.5000 0.5000 0.0000 Hg
0.3669 0.8669 0.0000 Pd
0.8669 0.6331 0.0000 Pd
0.6331 0.1331 0.0000 Pd
0.1331 0.3669 0.0000 Pd
```

Calculated values
Excess energy over the best structure of this formula in the dataset = 0.1323 eV/atom
Energy of formation from the pure elements = -21.2 meV/atom
SG = P4/mbm
Mass density = 6.83 g/cm³


# 2
Below is a relaxed structure of TcPbAu2, with properties calculated at the PBE level.

Structure (POSCAR):
```
TcPbAu2
1.0
-2.9008 0.7124 0.9700
-0.3891 -2.9507 1.0027
2.8934 2.0478 7.1489
Au Pb Tc
2 1 1
direct
0.0000 0.0000 0.9872 Au
0.5000 0.5000 0.2179 Au
0.0000 0.0000 0.5189 Pb
0.5000 0.5000 0.7760 Tc
```

Calculated values
Energy of formation from the pure elements = 454.7 meV/atom
SG = P4mm
Mass density = 14.75 g/cm³


# 3
Below is a relaxed structure of Nb5Tc6, with properties calculated at the PBE level.

Structure (POSCAR):
```
Nb5Tc6
1.0
-3.1665 2.4748 1.9344
-2.8758 0.6917 -5.5927
-0.5495 -7.0761 2.9855
Nb Tc
5 6
direct
0.0000 0.5000 0.0000 Nb
0.6676 0.6674 0.3348 Nb
0.3324 0.3326 0.6652 Nb
0.3401 0.8401 0.6802 Nb
0.6599 0.1599 0.3198 Nb
0.5000 0.7476 0.0000 Tc
0.5000 0.2524 0.0000 Tc
0.8336 0.0827 0.6672 Tc
0.8336 0.5846 0.6672 Tc
0.1664 0.9173 0.3328 Tc
0.1664 0.4154 0.3328 Tc
```

Calculated values
Energy of formation from the pure elements = 9.6 meV/atom
SG = C2/m
Mass density = 9.31 g/cm³


# 4
Below is a relaxed structure of LiRePt, with properties calculated at the PBE level.

Structure (POSCAR):
```
LiRePt
1.0
4.0938 -2.3635 0.0000
0.0000 4.7271 0.0000
0.0000 0.0000 9.5269
Re Pt Li
2 2 2
direct
0.0000 0.0000 0.2500 Re
0.0000 0.0000 0.7500 Re
0.0000 0.0000 0.0000 Pt
0.0000 0.0000 0.5000 Pt
0.3333 0.6667 0.2500 Li
0.6667 0.3333 0.7500 Li
```

Calculated values
Excess energy over the best structure of this formula in the dataset = 2.3106 eV/atom
Energy of formation from the pure elements = 2057.6 meV/atom
SG = P6_3/mmc
Mass density = 6.99 g/cm³